1.
PBE-GGA NpSnSb2, optimized geometry; density of states at the Fermi level = 12.1 states/eV per cell; energy relative to the lowest polymorph listed for this composition = 0.0036 eV per atom; E_form (uncorrected) = -14 kJ per mole of atoms; SG = No. 123
1.0
-3.463 -0.103 -2.623
-0.646 -4.709 1.039
-2.867 1.218 3.738
Np Sn Sb
1 1 2
Direct
0.500 0.500 0.500 Np
0.500 0.000 0.000 Sn
0.000 0.500 0.000 Sb
0.000 0.000 0.500 Sb

---

2.
PBE-GGA YP4Au, optimized geometry; density of states at the Fermi level = 2.7 states/eV per cell; SG = No. 216; formation energy from the elements = -26 meV per atom
1.0
0.000 3.735 3.735
3.735 0.000 3.735
3.735 3.735 0.000
Au P Y
1 4 1
Direct
0.000 0.000 0.000 Au
0.900 0.367 0.367 P
0.367 0.367 0.367 P
0.367 0.367 0.900 P
0.367 0.900 0.367 P
0.750 0.750 0.750 Y

---

3.
PBE-GGA LaHg2BiH, optimized geometry; density of states at the Fermi level = 2.1 states/eV per cell; final energy = -2.886 eV/atom; SG = No. 123
1.0
4.955 0.000 0.000
0.000 4.955 0.000
0.000 0.000 4.726
Bi H Hg La
1 1 2 1
Direct
0.500 0.500 0.500 Bi
0.000 0.000 0.000 H
0.000 0.500 0.000 Hg
0.500 0.000 0.000 Hg
0.000 0.000 0.500 La

---

4.
PBE-GGA NdPAu, optimized geometry; density of states at the Fermi level = 5.4 states/eV per cell; SG = No. 62; formation energy from the elements = -966 meV per atom
1.0
4.085 0.000 0.000
0.000 7.190 0.000
0.000 0.000 9.419
P Nd Au
4 4 4
Direct
0.750 0.627 0.162 P
0.250 0.373 0.838 P
0.250 0.873 0.662 P
0.750 0.127 0.338 P
0.750 0.170 0.647 Nd
0.250 0.830 0.353 Nd
0.250 0.330 0.147 Nd
0.750 0.670 0.853 Nd
0.250 0.029 0.899 Au
0.250 0.529 0.601 Au
0.750 0.971 0.101 Au
0.750 0.471 0.399 Au

---

5.
PBE-GGA Ba3MnRu, optimized geometry; density of states at the Fermi level = 6.5 states/eV per cell; energy relative to the lowest polymorph listed for this composition = 0.0000 eV per atom; SG = No. 221; formation energy from the elements = 589 meV per atom
1.0
-4.803 2.902 1.861
-1.235 -4.428 3.717
3.218 2.631 4.204
Mn Ba Ru
1 3 1
Direct
0.500 0.500 0.500 Mn
0.000 0.000 0.500 Ba
0.500 0.000 0.000 Ba
0.000 0.500 0.000 Ba
0.000 0.000 0.000 Ru

---

6.
PBE-GGA RbPaTi2O7, optimized geometry; E_form (uncorrected) = -281 kJ per mole of atoms; SG = No. 123
1.0
-3.741 -0.074 0.102
-0.005 -2.941 -2.316
0.376 -6.906 8.769
Ti Rb O Pa
2 1 7 1
Direct
0.500 0.500 0.798 Ti
0.500 0.500 0.202 Ti
0.000 0.000 0.500 Rb
0.500 0.500 0.645 O
0.000 0.500 0.144 O
0.500 0.500 0.000 O
0.500 0.000 0.856 O
0.500 0.000 0.144 O
0.000 0.500 0.856 O
0.500 0.500 0.355 O
0.000 0.000 0.000 Pa